*A*
# P3N (PBE, optimized geometry)
# total moment	0.00	μB/cell
data_P3N
_chemical_formula_sum 'P3 N1'
_cell_length_a 2.6739
_cell_length_b 5.8539
_cell_length_c 6.0051
_cell_angle_alpha 61.33
_cell_angle_beta 79.57
_cell_angle_gamma 78.54
_space_group_name_H-M_alt 'P 1'
_space_group_IT_number 1
loop_
_space_group_symop_operation_xyz
'x,y,z'
loop_
_atom_site_label
_atom_site_fract_x
_atom_site_fract_y
_atom_site_fract_z
_atom_site_occupancy
P1 0.0000 0.0000 0.0000 1
P2 0.0862 0.1915 0.5827 1
P3 0.1892 0.7624 0.7900 1
N1 0.5823 0.3412 0.4324 1

---

*B*
# P3N (PBE, optimized geometry)
# total moment	0.00	μB/cell
data_P3N
_chemical_formula_sum 'P6 N2'
_cell_length_a 4.1055
_cell_length_b 2.6119
_cell_length_c 11.1998
_cell_angle_alpha 90.00
_cell_angle_beta 90.00
_cell_angle_gamma 90.00
_space_group_name_H-M_alt 'A m m 2'
_space_group_IT_number 38
loop_
_space_group_symop_operation_xyz
'x,y,z'
'-x,-y,z'
'-x,y,z'
'x,-y,z'
'x,y+1/2,z+1/2'
'-x,-y+1/2,z+1/2'
'-x,y+1/2,z+1/2'
'x,-y+1/2,z+1/2'
loop_
_atom_site_label
_atom_site_fract_x
_atom_site_fract_y
_atom_site_fract_z
_atom_site_occupancy
P1 0.0000 0.0000 0.0000 1
P2 0.0000 0.0000 0.2429 1
P3 0.5000 0.0000 0.1219 1
N1 0.0000 0.0000 0.3993 1

---

*C*
# P3N (PBE, optimized geometry)
# total moment	0.00	μB/cell
data_P3N
_chemical_formula_sum 'P6 N2'
_cell_length_a 5.7961
_cell_length_b 3.9401
_cell_length_c 6.0598
_cell_angle_alpha 90.00
_cell_angle_beta 118.34
_cell_angle_gamma 90.00
_space_group_name_H-M_alt 'C 1 2 1'
_space_group_IT_number 5
loop_
_space_group_symop_operation_xyz
'x,y,z'
'-x,y,-z'
'x+1/2,y+1/2,z'
'-x+1/2,y+1/2,-z'
loop_
_atom_site_label
_atom_site_fract_x
_atom_site_fract_y
_atom_site_fract_z
_atom_site_occupancy
P1 0.0000 0.0000 0.0000 1
P2 0.2066 0.8926 0.7433 1
N1 0.0000 0.6617 0.5000 1

---

*D*
# P3N (PBE, optimized geometry)
# total moment	0.00	μB/cell
data_P3N
_chemical_formula_sum 'P3 N1'
_cell_length_a 3.2217
_cell_length_b 4.7985
_cell_length_c 4.9604
_cell_angle_alpha 105.39
_cell_angle_beta 90.44
_cell_angle_gamma 108.65
_space_group_name_H-M_alt 'P 1'
_space_group_IT_number 1
loop_
_space_group_symop_operation_xyz
'x,y,z'
loop_
_atom_site_label
_atom_site_fract_x
_atom_site_fract_y
_atom_site_fract_z
_atom_site_occupancy
P1 0.0000 0.0000 0.0000 1
P2 0.0671 0.0984 0.4738 1
P3 0.3287 0.6418 0.9278 1
N1 0.2422 0.4706 0.5879 1

---

Most stable of them? *A*.

---

*A*
# P3N5 (PBE, optimized geometry)
# total moment	0.00	μB/cell
data_P3N5
_chemical_formula_sum 'P6 N10'
_cell_length_a 2.6295
_cell_length_b 13.0554
_cell_length_c 4.4897
_cell_angle_alpha 90.00
_cell_angle_beta 90.00
_cell_angle_gamma 90.00
_space_group_name_H-M_alt 'I m m 2'
_space_group_IT_number 44
loop_
_space_group_symop_operation_xyz
'x,y,z'
'-x,-y,z'
'-x,y,z'
'x,-y,z'
'x+1/2,y+1/2,z+1/2'
'-x+1/2,-y+1/2,z+1/2'
'-x+1/2,y+1/2,z+1/2'
'x+1/2,-y+1/2,z+1/2'
loop_
_atom_site_label
_atom_site_fract_x
_atom_site_fract_y
_atom_site_fract_z
_atom_site_occupancy
P1 0.0000 0.0000 0.0000 1
P2 0.0000 0.3172 0.1609 1
N1 0.0000 0.1038 0.7796 1
N2 0.0000 0.2265 0.4381 1
N3 0.0000 0.5000 0.6960 1

---

*B*
# P3N5 (PBE, optimized geometry)
# total moment	0.00	μB/cell
data_P3N5
_chemical_formula_sum 'P12 N20'
_cell_length_a 8.1871
_cell_length_b 5.8950
_cell_length_c 9.2456
_cell_angle_alpha 90.00
_cell_angle_beta 115.67
_cell_angle_gamma 90.00
_space_group_name_H-M_alt 'C 1 c 1'
_space_group_IT_number 9
loop_
_space_group_symop_operation_xyz
'x,y,z'
'x,-y,z+1/2'
'x+1/2,y+1/2,z'
'x+1/2,-y+1/2,z+1/2'
loop_
_atom_site_label
_atom_site_fract_x
_atom_site_fract_y
_atom_site_fract_z
_atom_site_occupancy
P1 0.0000 0.0171 0.0000 1
P2 0.1336 0.2959 0.8050 1
P3 0.3662 0.2041 0.6951 1
N1 0.9997 0.5002 0.2505 1
N2 0.1308 0.1378 0.9406 1
N3 0.1449 0.1453 0.6497 1
N4 0.3547 0.3552 0.8501 1
N5 0.3695 0.3614 0.5594 1

---

Most stable of them? *B*.

---

*A*
# P2PbN (PBE, optimized geometry)
# total moment	0.00	μB/cell
data_P2PbN
_chemical_formula_sum 'P8 Pb4 N4'
_cell_length_a 4.9666
_cell_length_b 4.9666
_cell_length_c 11.8737
_cell_angle_alpha 90.00
_cell_angle_beta 90.00
_cell_angle_gamma 90.00
_space_group_name_H-M_alt 'I -4 2 d'
_space_group_IT_number 122
_space_group_name_Hall 'I -4 2bw'
loop_
_atom_site_label
_atom_site_fract_x
_atom_site_fract_y
_atom_site_fract_z
_atom_site_occupancy
P1 0.0176 0.2500 0.1250 1
Pb1 0.0000 0.0000 0.5000 1
N1 0.0000 0.0000 0.0000 1

---

*B*
# P2PbN (PBE, optimized geometry)
# total moment	3.98	μB/cell
data_P2PbN
_chemical_formula_sum 'P8 Pb4 N4'
_cell_length_a 6.5135
_cell_length_b 6.5135
_cell_length_c 6.5135
_cell_angle_alpha 90.00
_cell_angle_beta 90.00
_cell_angle_gamma 90.00
_space_group_name_H-M_alt 'F m -3 m'
_space_group_IT_number 225
_space_group_name_Hall '-F 4 2 3'
loop_
_atom_site_label
_atom_site_fract_x
_atom_site_fract_y
_atom_site_fract_z
_atom_site_occupancy
P1 0.2500 0.2500 0.2500 1
Pb1 0.0000 0.0000 0.0000 1
N1 0.0000 0.0000 0.5000 1

---

Most stable of them? *A*.

---

*A*
# PPbSN2 (PBE, optimized geometry)
# total moment	1.83	μB/cell
data_PPbSN2
_chemical_formula_sum 'P1 Pb1 S1 N2'
_cell_length_a 4.3314
_cell_length_b 4.3314
_cell_length_c 5.4921
_cell_angle_alpha 90.00
_cell_angle_beta 90.00
_cell_angle_gamma 90.00
_space_group_name_H-M_alt 'P 4/m m m'
_space_group_IT_number 123
_space_group_name_Hall '-P 4 2'
loop_
_atom_site_label
_atom_site_fract_x
_atom_site_fract_y
_atom_site_fract_z
_atom_site_occupancy
P1 0.0000 0.0000 0.0000 1
Pb1 0.5000 0.5000 0.5000 1
S1 0.5000 0.5000 0.0000 1
N1 0.0000 0.5000 0.5000 1

---

*B*
# PPbSN2 (PBE, optimized geometry)
# total moment	0.54	μB/cell
data_PPbSN2
_chemical_formula_sum 'P1 Pb1 S1 N2'
_cell_length_a 3.7510
_cell_length_b 3.7510
_cell_length_c 4.7836
_cell_angle_alpha 90.00
_cell_angle_beta 90.00
_cell_angle_gamma 90.00
_space_group_name_H-M_alt 'P 4/m m m'
_space_group_IT_number 123
_space_group_name_Hall '-P 4 2'
loop_
_atom_site_label
_atom_site_fract_x
_atom_site_fract_y
_atom_site_fract_z
_atom_site_occupancy
P1 0.0000 0.0000 0.0000 1
Pb1 0.5000 0.5000 0.5000 1
S1 0.0000 0.0000 0.5000 1
N1 0.0000 0.5000 0.0000 1

---

Most stable of them? *B*.

---

*A*
# TePPbN2 (PBE, optimized geometry)
# total moment	3.63	μB/cell
data_TePPbN2
_chemical_formula_sum 'Te1 P1 Pb1 N2'
_cell_length_a 4.3106
_cell_length_b 4.3106
_cell_length_c 6.5217
_cell_angle_alpha 90.00
_cell_angle_beta 90.00
_cell_angle_gamma 90.00
_space_group_name_H-M_alt 'P 4/m m m'
_space_group_IT_number 123
_space_group_name_Hall '-P 4 2'
loop_
_atom_site_label
_atom_site_fract_x
_atom_site_fract_y
_atom_site_fract_z
_atom_site_occupancy
Te1 0.0000 0.0000 0.0000 1
P1 0.5000 0.5000 0.0000 1
Pb1 0.0000 0.0000 0.5000 1
N1 0.0000 0.5000 0.5000 1

---

*B*
# TePPbN2 (PBE, optimized geometry)
# total moment	1.70	μB/cell
data_TePPbN2
_chemical_formula_sum 'Te1 P1 Pb1 N2'
_cell_length_a 4.1209
_cell_length_b 4.1209
_cell_length_c 5.4732
_cell_angle_alpha 90.00
_cell_angle_beta 90.00
_cell_angle_gamma 90.00
_space_group_name_H-M_alt 'P 4/m m m'
_space_group_IT_number 123
_space_group_name_Hall '-P 4 2'
loop_
_atom_site_label
_atom_site_fract_x
_atom_site_fract_y
_atom_site_fract_z
_atom_site_occupancy
Te1 0.0000 0.0000 0.0000 1
P1 0.0000 0.0000 0.5000 1
Pb1 0.5000 0.5000 0.0000 1
N1 0.0000 0.5000 0.5000 1

---

Most stable of them? *B*.

---

*A*
# Te2PPdN (PBE, optimized geometry)
# total moment	0.00	μB/cell
data_Te2PPdN
_chemical_formula_sum 'Te2 P1 Pd1 N1'
_cell_length_a 5.4360
_cell_length_b 5.4360
_cell_length_c 3.7047
_cell_angle_alpha 90.00
_cell_angle_beta 90.00
_cell_angle_gamma 90.00
_space_group_name_H-M_alt 'P 4/m m m'
_space_group_IT_number 123
_space_group_name_Hall '-P 4 2'
loop_
_atom_site_label
_atom_site_fract_x
_atom_site_fract_y
_atom_site_fract_z
_atom_site_occupancy
Te1 0.0000 0.5000 0.0000 1
P1 0.0000 0.0000 0.5000 1
Pd1 0.5000 0.5000 0.0000 1
N1 0.5000 0.5000 0.5000 1

---

*B*
# Te2PPdN (PBE, optimized geometry)
# total moment	0.00	μB/cell
data_Te2PPdN
_chemical_formula_sum 'Te2 P1 Pd1 N1'
_cell_length_a 5.4135
_cell_length_b 5.4135
_cell_length_c 3.2361
_cell_angle_alpha 90.00
_cell_angle_beta 90.00
_cell_angle_gamma 90.00
_space_group_name_H-M_alt 'P 4/m m m'
_space_group_IT_number 123
_space_group_name_Hall '-P 4 2'
loop_
_atom_site_label
_atom_site_fract_x
_atom_site_fract_y
_atom_site_fract_z
_atom_site_occupancy
Te1 0.0000 0.5000 0.0000 1
P1 0.0000 0.0000 0.0000 1
Pd1 0.5000 0.5000 0.5000 1
N1 0.0000 0.0000 0.5000 1

---

Most stable of them? *B*.

---

*A*
# Pm2PN (PBE, optimized geometry)
# total moment	0.00	μB/cell
data_Pm2PN
_chemical_formula_sum 'Pm8 P4 N4'
_cell_length_a 5.7323
_cell_length_b 5.6938
_cell_length_c 12.0364
_cell_angle_alpha 90.00
_cell_angle_beta 116.66
_cell_angle_gamma 90.00
_space_group_name_H-M_alt 'P 1 2/c 1'
_space_group_IT_number 13
loop_
_space_group_symop_operation_xyz
'x,y,z'
'-x,-y,-z'
'-x,y,-z+1/2'
'x,-y,z+1/2'
loop_
_atom_site_label
_atom_site_fract_x
_atom_site_fract_y
_atom_site_fract_z
_atom_site_occupancy
Pm1 0.1015 0.2242 0.1065 1
Pm2 0.3226 0.2381 0.8566 1
P1 0.3818 0.2631 0.3750 1
N1 0.0663 0.1893 0.6239 1

---

*B*
# Pm2PN (PBE, optimized geometry)
# total moment	0.00	μB/cell
data_Pm2PN
_chemical_formula_sum 'Pm8 P4 N4'
_cell_length_a 6.7521
_cell_length_b 6.7521
_cell_length_c 6.7521
_cell_angle_alpha 90.00
_cell_angle_beta 90.00
_cell_angle_gamma 90.00
_space_group_name_H-M_alt 'F m -3 m'
_space_group_IT_number 225
_space_group_name_Hall '-F 4 2 3'
loop_
_atom_site_label
_atom_site_fract_x
_atom_site_fract_y
_atom_site_fract_z
_atom_site_occupancy
Pm1 0.2500 0.2500 0.2500 1
P1 0.0000 0.0000 0.0000 1
N1 0.0000 0.0000 0.5000 1

---

*C*
# Pm2PN (PBE, optimized geometry)
# total moment	0.00	μB/cell
data_Pm2PN
_chemical_formula_sum 'Pm6 P3 N3'
_cell_length_a 3.7680
_cell_length_b 3.7680
_cell_length_c 20.2524
_cell_angle_alpha 90.00
_cell_angle_beta 90.00
_cell_angle_gamma 120.00
_space_group_name_H-M_alt 'R 3 m'
_space_group_IT_number 160
_space_group_name_Hall 'R 3 -2"'
loop_
_atom_site_label
_atom_site_fract_x
_atom_site_fract_y
_atom_site_fract_z
_atom_site_occupancy
Pm1 0.0000 0.0000 0.0000 1
Pm2 0.0000 0.0000 0.1525 1
P1 0.0000 0.0000 0.5745 1
N1 0.0000 0.0000 0.4041 1

---

Most stable of them? *A*.

---

*A*
# Pm2PN (PBE, optimized geometry)
# total moment	0.00	μB/cell
data_Pm2PN
_chemical_formula_sum 'Pm2 P1 N1'
_cell_length_a 4.7673
_cell_length_b 4.7673
_cell_length_c 3.3689
_cell_angle_alpha 90.00
_cell_angle_beta 90.00
_cell_angle_gamma 90.00
_space_group_name_H-M_alt 'P 4/m m m'
_space_group_IT_number 123
_space_group_name_Hall '-P 4 2'
loop_
_atom_site_label
_atom_site_fract_x
_atom_site_fract_y
_atom_site_fract_z
_atom_site_occupancy
Pm1 0.0000 0.5000 0.0000 1
P1 0.0000 0.0000 0.5000 1
N1 0.5000 0.5000 0.5000 1

---

*B*
# Pm2PN (PBE, optimized geometry)
# total moment	0.00	μB/cell
data_Pm2PN
_chemical_formula_sum 'Pm6 P3 N3'
_cell_length_a 3.8396
_cell_length_b 3.8396
_cell_length_c 19.2877
_cell_angle_alpha 90.00
_cell_angle_beta 90.00
_cell_angle_gamma 120.00
_space_group_name_H-M_alt 'R -3 m'
_space_group_IT_number 166
_space_group_name_Hall '-R 3 2"'
loop_
_atom_site_label
_atom_site_fract_x
_atom_site_fract_y
_atom_site_fract_z
_atom_site_occupancy
Pm1 0.0000 0.0000 0.2400 1
P1 0.0000 0.0000 0.0000 1
N1 0.0000 0.0000 0.5000 1

---

Most stable of them? *B*.

---

*A*
# PmPN (PBE, optimized geometry)
# total moment	0.00	μB/cell
data_PmPN
_chemical_formula_sum 'Pm2 P2 N2'
_cell_length_a 3.5586
_cell_length_b 3.5586
_cell_length_c 9.2227
_cell_angle_alpha 90.00
_cell_angle_beta 90.00
_cell_angle_gamma 90.00
_space_group_name_H-M_alt 'I 4 m m'
_space_group_IT_number 107
_space_group_name_Hall 'I 4 -2'
loop_
_atom_site_label
_atom_site_fract_x
_atom_site_fract_y
_atom_site_fract_z
_atom_site_occupancy
Pm1 0.0000 0.0000 0.0000 1
P1 0.0000 0.0000 0.3231 1
N1 0.0000 0.0000 0.5099 1

---

*B*
# PmPN (PBE, optimized geometry)
# total moment	0.00	μB/cell
data_PmPN
_chemical_formula_sum 'Pm8 P8 N8'
_cell_length_a 5.4276
_cell_length_b 11.9041
_cell_length_c 5.9510
_cell_angle_alpha 90.00
_cell_angle_beta 90.00
_cell_angle_gamma 90.00
_space_group_name_H-M_alt 'C m c e'
_space_group_IT_number 64
_space_group_name_Hall '-C 2ac 2'
loop_
_atom_site_label
_atom_site_fract_x
_atom_site_fract_y
_atom_site_fract_z
_atom_site_occupancy
Pm1 0.0000 0.1277 0.0945 1
P1 0.0000 0.1340 0.6187 1
N1 0.2500 0.0490 0.7500 1

---

Most stable of them? *A*.

---

*A*
# PrPN2 (PBE, optimized geometry)
# total moment	0.00	μB/cell
data_PrPN2
_chemical_formula_sum 'Pr3 P3 N6'
_cell_length_a 2.9247
_cell_length_b 2.9247
_cell_length_c 20.7679
_cell_angle_alpha 90.00
_cell_angle_beta 90.00
_cell_angle_gamma 120.00
_space_group_name_H-M_alt 'R -3 m'
_space_group_IT_number 166
_space_group_name_Hall '-R 3 2"'
loop_
_atom_site_label
_atom_site_fract_x
_atom_site_fract_y
_atom_site_fract_z
_atom_site_occupancy
Pr1 0.0000 0.0000 0.0000 1
P1 0.0000 0.0000 0.5000 1
N1 0.0000 0.0000 0.1220 1

---

*B*
# PrPN2 (PBE, optimized geometry)
# total moment	0.00	μB/cell
data_PrPN2
_chemical_formula_sum 'Pr2 P2 N4'
_cell_length_a 4.7652
_cell_length_b 4.8881
_cell_length_c 6.0594
_cell_angle_alpha 67.34
_cell_angle_beta 88.30
_cell_angle_gamma 87.40
_space_group_name_H-M_alt 'P 1'
_space_group_IT_number 1
loop_
_space_group_symop_operation_xyz
'x,y,z'
loop_
_atom_site_label
_atom_site_fract_x
_atom_site_fract_y
_atom_site_fract_z
_atom_site_occupancy
Pr1 0.0000 0.0000 0.0000 1
Pr2 0.4862 0.2925 0.4717 1
P1 0.4142 0.5415 0.9083 1
P2 0.9206 0.7046 0.6095 1
N1 0.2307 0.8059 0.6761 1
N2 0.7382 0.6869 0.8637 1
N3 0.7802 0.9463 0.3714 1
N4 0.9495 0.3771 0.6028 1

---

*C*
# PrPN2 (PBE, optimized geometry)
# total moment	0.00	μB/cell
data_PrPN2
_chemical_formula_sum 'Pr4 P4 N8'
_cell_length_a 7.0064
_cell_length_b 6.2961
_cell_length_c 6.9240
_cell_angle_alpha 90.00
_cell_angle_beta 116.44
_cell_angle_gamma 90.00
_space_group_name_H-M_alt 'C 1 2/c 1'
_space_group_IT_number 15
loop_
_space_group_symop_operation_xyz
'x,y,z'
'-x,-y,-z'
'-x,y,-z+1/2'
'x,-y,z+1/2'
'x+1/2,y+1/2,z'
'-x+1/2,-y+1/2,-z'
'-x+1/2,y+1/2,-z+1/2'
'x+1/2,-y+1/2,z+1/2'
loop_
_atom_site_label
_atom_site_fract_x
_atom_site_fract_y
_atom_site_fract_z
_atom_site_occupancy
Pr1 0.0000 0.1497 0.2500 1
P1 0.0000 0.3468 0.7500 1
N1 0.1243 0.2083 0.6464 1

---

Most stable of them? *C*.

---

*A*
# PPt2N (PBE, optimized geometry)
# total moment	0.00	μB/cell
data_PPt2N
_chemical_formula_sum 'P4 Pt8 N4'
_cell_length_a 4.6338
_cell_length_b 4.6338
_cell_length_c 11.7329
_cell_angle_alpha 90.00
_cell_angle_beta 90.00
_cell_angle_gamma 90.00
_space_group_name_H-M_alt 'I -4 2 d'
_space_group_IT_number 122
_space_group_name_Hall 'I -4 2bw'
loop_
_atom_site_label
_atom_site_fract_x
_atom_site_fract_y
_atom_site_fract_z
_atom_site_occupancy
P1 0.0000 0.0000 0.0000 1
Pt1 0.1835 0.2500 0.6250 1
N1 0.0000 0.0000 0.5000 1

---

*B*
# PPt2N (PBE, optimized geometry)
# total moment	0.00	μB/cell
data_PPt2N
_chemical_formula_sum 'P4 Pt8 N4'
_cell_length_a 5.8889
_cell_length_b 5.8889
_cell_length_c 5.8889
_cell_angle_alpha 90.00
_cell_angle_beta 90.00
_cell_angle_gamma 90.00
_space_group_name_H-M_alt 'F m -3 m'
_space_group_IT_number 225
_space_group_name_Hall '-F 4 2 3'
loop_
_atom_site_label
_atom_site_fract_x
_atom_site_fract_y
_atom_site_fract_z
_atom_site_occupancy
P1 0.0000 0.0000 0.0000 1
Pt1 0.2500 0.2500 0.2500 1
N1 0.0000 0.0000 0.5000 1

---

Most stable of them? *A*.